DFT (PBE-GGA) results for a relaxed Ac6Tl3Ir2Pt crystal.

Cell: 7.500 7.500 8.977 Å, 97.96 97.96 119.99°
Atoms (fractional coordinates):
1 Ac 0.593 0.934 0.803
2 Ac 0.934 0.593 0.803
3 Ac 0.722 0.722 0.192
4 Ac 0.407 0.066 0.197
5 Ac 0.066 0.407 0.197
6 Ac 0.278 0.278 0.808
7 Tl 0.500 0.500 0.500
8 Tl 0.843 0.157 0.500
9 Tl 0.157 0.843 0.500
10 Pt 0.000 0.000 0.000
11 Ir 0.668 0.332 0.000
12 Ir 0.332 0.668 0.000

Spin magnetization ... 0.0 μB per cell
DOS at the Fermi energy ... 0.527 states/eV per atom
E ... -5.233 eV per atom
Space group ... C2/m, No. 12
Calculated volume ... 35.0 A^3/atom
E_form ... -7.3 eV/f.u.

---

DFT (PBE-GGA) results for a relaxed KBeP2 crystal.

Cell: 3.283 3.997 6.338 Å, 82.45 90.00 90.00°
Atoms (fractional coordinates):
1 P 0.000 0.075 0.114
2 P 0.500 0.233 0.365
3 K 0.500 0.633 0.767
4 Be 0.000 0.559 0.254

Spin magnetization ... 0.0 μB per cell
DOS at the Fermi energy ... 0.288 states/eV per atom
E ... -4.016 eV per atom
Space group ... Pm, No. 6
Calculated volume ... 20.6 A^3/atom
E_form ... -0.4 eV/f.u.

---

DFT (PBE-GGA) results for a relaxed ZrFeCo crystal.

Cell: 4.182 4.182 4.182 Å, 60.00 60.00 60.00°
Last column: magnetic moment on the atom in μB.
Atoms (fractional coordinates):
1 Zr 0.750 0.750 0.750  -0.36
2 Co 0.000 0.000 0.000  0.66
3 Fe 0.500 0.500 0.500  1.93

Spin magnetization ... 2.2 μB per cell
DOS at the Fermi energy ... 2.024 states/eV per atom
E ... -7.290 eV per atom
Space group ... F-43m, No. 216
Calculated volume ... 17.2 A^3/atom
E_form ... 2.2 eV/f.u.

---

DFT (PBE-GGA) results for a relaxed Nb3Ga4Pt crystal.

Cell: 5.310 5.538 8.994 Å, 90.00 90.00 90.00°
Atoms (fractional coordinates):
1 Ga 0.945 0.606 0.000
2 Ga 0.709 0.868 0.262
3 Ga 0.209 0.132 0.238
4 Ga 0.445 0.394 0.500
5 Ga 0.209 0.132 0.762
6 Ga 0.709 0.868 0.738
7 Ga 0.379 0.355 0.000
8 Ga 0.879 0.645 0.500
9 Nb 0.928 0.161 0.500
10 Nb 0.720 0.367 0.766
11 Nb 0.428 0.839 0.000
12 Nb 0.220 0.633 0.734
13 Nb 0.220 0.633 0.266
14 Nb 0.720 0.367 0.234
15 Pt 0.406 0.926 0.500
16 Pt 0.906 0.074 0.000

Spin magnetization ... 0.0 μB per cell
DOS at the Fermi energy ... 0.372 states/eV per atom
E ... -6.396 eV per atom
Space group ... Pmn2_1, No. 31
Calculated volume ... 16.5 A^3/atom
E_form ... -2.8 eV/f.u.

---

DFT (PBE-GGA) results for a relaxed Y2Br2Cl crystal.

Cell: 4.917 4.917 7.315 Å, 70.36 70.36 90.00°
Last column: magnetic moment on the atom in μB.
Atoms (fractional coordinates):
1 Br 0.750 0.250 0.500  0.00
2 Br 0.250 0.750 0.500  0.00
3 Y 0.623 0.623 0.753  0.16
4 Y 0.377 0.377 0.247  0.16
5 Cl 0.000 0.000 0.000  0.01

Spin magnetization ... 0.6 μB per cell
DOS at the Fermi energy ... 1.095 states/eV per atom
E ... -4.563 eV per atom
Space group ... I4/mmm, No. 139
Distance to the lowest polymorph of the same formula ... 0.596 eV/atom
Calculated volume ... 31.1 A^3/atom
Formation energy without anion corrections ... -939 meV per atom

---

DFT (PBE-GGA) results for a relaxed TcRu crystal.

Cell: 2.746 2.746 4.345 Å, 90.00 90.00 120.00°
Atoms (fractional coordinates):
1 Tc 0.000 0.000 0.000
2 Ru 0.333 0.667 0.500

Spin magnetization ... 0.0 μB per cell
DOS at the Fermi energy ... 1.232 states/eV per atom
E ... -9.867 eV per atom
Space group ... P-6m2, No. 187
Distance to the lowest polymorph of the same formula ... 0.021 eV/atom
Calculated volume ... 14.2 A^3/atom
E_form ... -0.1 eV/f.u.

---

DFT (PBE-GGA) results for a relaxed LiThZnCu crystal.

Cell: 4.843 4.843 4.843 Å, 60.00 60.00 60.00°
Atoms (fractional coordinates):
1 Zn 0.750 0.750 0.750
2 Li 0.500 0.500 0.500
3 Cu 0.250 0.250 0.250
4 Th 0.000 0.000 0.000

Spin magnetization ... 0.0 μB per cell
DOS at the Fermi energy ... 0.639 states/eV per atom
E ... -3.747 eV per atom
Space group ... F-43m, No. 216
Calculated volume ... 20.1 A^3/atom
E_form ... -0.3 eV/f.u.

---

DFT (PBE-GGA) results for a relaxed InAgCl2 crystal.

Cell: 6.715 6.715 7.748 Å, 64.32 64.32 90.00°
Atoms (fractional coordinates):
1 Cl 0.181 0.625 0.250
2 Cl 0.569 0.125 0.250
3 Cl 0.375 0.431 0.750
4 Cl 0.875 0.819 0.750
5 In 0.750 0.250 0.500
6 In 0.000 0.000 0.000
7 Ag 0.250 0.750 0.500
8 Ag 0.500 0.500 0.000

Spin magnetization ... 0.0 μB per cell
DOS at the Fermi energy ... 0.000 states/eV per atom
E ... -2.913 eV per atom
Space group ... I-42d, No. 122
Calculated volume ... 34.5 A^3/atom
Formation energy without anion corrections ... -593 meV per atom